Entry from Alexandria via LeMat-Bulk: crystalline BeZnN at its relaxed geometry (PBE).

Calculated values
Its space group is R-3m, No. 166. The formation energy from raw total energies comes out at -461 meV per atom. The energy is -29.41 eV/cell.

a = 8.1037 Å, b = 8.1037 Å, c = 8.1037 Å
α = 21.07°, β = 21.07°, γ = 21.07°
With the nearest neighbours (Å) after each atom.
Fractional coordinates of all 6 atoms:
Be  0.1356  0.1356  0.1356  4 N 1.74-1.81
Be  0.8644  0.8644  0.8644  4 N 1.74-1.81
Zn  0.2917  0.2917  0.2917  1 N 1.90
Zn  0.7083  0.7083  0.7083  1 N 1.90
N  0.2118  0.2118  0.2118  4 Be 1.74-1.81, 1 Zn 1.90
N  0.7882  0.7882  0.7882  4 Be 1.74-1.81, 1 Zn 1.90

Entry from Alexandria via LeMat-Bulk: crystalline Zr2BeZnN at its relaxed geometry (PBE).

Calculated values
Its space group is P4/mmm, No. 123. The formation energy from raw total energies comes out at -669 meV per atom. The energy is -33.76 eV/cell.

a = 4.6236 Å, b = 4.6236 Å, c = 3.3718 Å
α = 90.00°, β = 90.00°, γ = 90.00°
With the nearest neighbours (Å) after each atom.
Fractional coordinates of all 5 atoms:
Zr  0.0000  0.5000  0.0000  2 N 2.31
Zr  0.5000  0.0000  0.0000  2 N 2.31
Be  0.0000  0.0000  0.5000  2 N 1.69
Zn  0.5000  0.5000  0.5000  8 Zr 2.86
N  0.0000  0.0000  0.0000  2 Be 1.69

Entry from Alexandria via LeMat-Bulk: crystalline ZrBeN at its relaxed geometry (PBE).

Calculated values
Its space group is I4/mmm, No. 139. The formation energy from raw total energies comes out at -707 meV per atom. The energy is -45.44 eV/cell.

a = 7.8679 Å, b = 7.8679 Å, c = 7.8679 Å
α = 156.00°, β = 156.00°, γ = 34.19°
With the nearest neighbours (Å) after each atom.
Fractional coordinates of all 6 atoms:
Zr  0.1773  0.1773  0.0000  5 N 2.21-2.31
Zr  0.8227  0.8227  0.0000  5 N 2.21-2.31
Be  0.4314  0.4314  0.0000  1 N 1.61
Be  0.5686  0.5686  0.0000  1 N 1.61
N  0.3244  0.3244  0.0000  1 Be 1.61
N  0.6756  0.6756  0.0000  1 Be 1.61

Entry from Alexandria via LeMat-Bulk: crystalline Zr4Be2N at its relaxed geometry (PBE).

Calculated values
Its space group is I4/mmm, No. 139. The formation energy from raw total energies comes out at -320 meV per atom. The energy is -52.21 eV/cell.

a = 7.3526 Å, b = 7.3526 Å, c = 7.3526 Å
α = 145.91°, β = 145.91°, γ = 48.98°
With the nearest neighbours (Å) after each atom.
Fractional coordinates of all 7 atoms:
Zr  0.0000  0.5000  0.5000  2 N 2.16
Zr  0.1742  0.1742  0.0000  1 N 2.33
Zr  0.5000  0.0000  0.5000  2 N 2.16
Zr  0.8258  0.8258  0.0000  1 N 2.33
Be  0.3735  0.3735  0.0000  5 Zr 2.67-2.74
Be  0.6265  0.6265  0.0000  5 Zr 2.67-2.74
N  0.0000  0.0000  0.0000  6 Zr 2.16-2.33

Entry from Alexandria via LeMat-Bulk: crystalline ZrBeN3 at its relaxed geometry (PBE).

Calculated values
Its space group is Pm-3m, No. 221. The formation energy from raw total energies comes out at 87 meV per atom. The energy is -36.82 eV/cell.

a = 3.4999 Å, b = 3.4999 Å, c = 3.4999 Å
α = 90.00°, β = 90.00°, γ = 90.00°
With the nearest neighbours (Å) after each atom.
Fractional coordinates of all 5 atoms:
Zr  0.0000  0.0000  0.0000  12 N 2.47
Be  0.5000  0.5000  0.5000  6 N 1.75
N  0.0000  0.5000  0.5000  2 Be 1.75
N  0.5000  0.0000  0.5000  2 Be 1.75
N  0.5000  0.5000  0.0000  2 Be 1.75

Entry from Alexandria via LeMat-Bulk: crystalline Zr6BeN4 at its relaxed geometry (PBE).

Calculated values
Its space group is Cmcm, No. 63. The formation energy from raw total energies comes out at -1308 meV per atom. The energy is -205.41 eV/cell.

a = 5.7467 Å, b = 5.7467 Å, c = 17.0508 Å
α = 90.00°, β = 90.00°, γ = 146.62°
With the nearest neighbours (Å) after each atom.
Fractional coordinates of all 22 atoms:
Zr  0.0000  0.0000  0.0000  6 N 2.33-2.34
Zr  0.0000  0.0000  0.5000  6 N 2.33-2.34
Zr  0.1596  0.8404  0.7500  2 N 2.29
Zr  0.2761  0.7239  0.0800  5 N 2.26-2.35
Zr  0.2761  0.7239  0.4200  5 N 2.26-2.35
Zr  0.4601  0.5399  0.6548  3 N 2.23-2.28
Zr  0.4601  0.5399  0.8452  3 N 2.23-2.28
Zr  0.5399  0.4601  0.1548  3 N 2.23-2.28
Zr  0.5399  0.4601  0.3452  3 N 2.23-2.28
Zr  0.7239  0.2761  0.5800  5 N 2.26-2.35
Zr  0.7239  0.2761  0.9200  5 N 2.26-2.35
Zr  0.8404  0.1596  0.2500  2 N 2.29
Be  0.1600  0.8400  0.2500  6 Zr 2.58-2.67
Be  0.8400  0.1600  0.7500  6 Zr 2.58-2.67
N  0.0936  0.9064  0.6229  6 Zr 2.28-2.33
N  0.0936  0.9064  0.8771  6 Zr 2.28-2.33
N  0.3628  0.6372  0.5399  6 Zr 2.23-2.35
N  0.3628  0.6372  0.9601  6 Zr 2.23-2.35
N  0.6372  0.3628  0.0399  6 Zr 2.23-2.35
N  0.6372  0.3628  0.4601  6 Zr 2.23-2.35
N  0.9064  0.0936  0.1229  6 Zr 2.28-2.33
N  0.9064  0.0936  0.3771  6 Zr 2.28-2.33

Entry from Alexandria via LeMat-Bulk: crystalline Zr3BeN at its relaxed geometry (PBE).

Calculated values
Its space group is Cmcm, No. 63. The formation energy from raw total energies comes out at -805 meV per atom. The energy is -83.45 eV/cell. The energy above the most stable polymorph in this dataset comes out at 0 meV per atom.

a = 5.8703 Å, b = 5.8703 Å, c = 8.6937 Å
α = 90.00°, β = 90.00°, γ = 147.07°
With the nearest neighbours (Å) after each atom.
Fractional coordinates of all 10 atoms:
Zr  0.0609  0.9391  0.7500  2 N 2.28
Zr  0.3695  0.6305  0.5572  2 N 2.27
Zr  0.3695  0.6305  0.9428  2 N 2.27
Zr  0.6305  0.3695  0.0572  2 N 2.27
Zr  0.6305  0.3695  0.4428  2 N 2.27
Zr  0.9391  0.0609  0.2500  2 N 2.28
Be  0.2598  0.7402  0.2500  6 Zr 2.62-2.77
Be  0.7402  0.2598  0.7500  6 Zr 2.62-2.77
N  0.0000  0.0000  0.0000  6 Zr 2.27-2.28
N  0.0000  0.0000  0.5000  6 Zr 2.27-2.28

Entry from Alexandria via LeMat-Bulk: crystalline Zr3BeN at its relaxed geometry (PBE).

Calculated values
Its space group is Pm-3m, No. 221. The formation energy from raw total energies comes out at -617 meV per atom. The energy is -40.78 eV/cell. The energy above the most stable polymorph in this dataset comes out at 188 meV per atom.

a = 4.4213 Å, b = 4.4213 Å, c = 4.4213 Å
α = 90.00°, β = 90.00°, γ = 90.00°
With the nearest neighbours (Å) after each atom.
Fractional coordinates of all 5 atoms:
Zr  0.0000  0.0000  0.5000  2 N 2.21
Zr  0.0000  0.5000  0.0000  2 N 2.21
Zr  0.5000  0.0000  0.0000  2 N 2.21
Be  0.5000  0.5000  0.5000  12 Zr 3.13
N  0.0000  0.0000  0.0000  6 Zr 2.21

Repeat the fourth record exactly.
Entry from Alexandria via LeMat-Bulk: crystalline Zr4Be2N at its relaxed geometry (PBE).

Calculated values
Its space group is I4/mmm, No. 139. The formation energy from raw total energies comes out at -320 meV per atom. The energy is -52.21 eV/cell.

a = 7.3526 Å, b = 7.3526 Å, c = 7.3526 Å
α = 145.91°, β = 145.91°, γ = 48.98°
With the nearest neighbours (Å) after each atom.
Fractional coordinates of all 7 atoms:
Zr  0.0000  0.5000  0.5000  2 N 2.16
Zr  0.1742  0.1742  0.0000  1 N 2.33
Zr  0.5000  0.0000  0.5000  2 N 2.16
Zr  0.8258  0.8258  0.0000  1 N 2.33
Be  0.3735  0.3735  0.0000  5 Zr 2.67-2.74
Be  0.6265  0.6265  0.0000  5 Zr 2.67-2.74
N  0.0000  0.0000  0.0000  6 Zr 2.16-2.33

Q: What is the formula in the eighth record?
A: Zr3BeN